Arrangement 1

# HfIn2Cl, relaxed, DFT PBE
data_HfIn2Cl
_cell_length_a 9.762
_cell_length_b 9.762
_cell_length_c 4.956
_cell_angle_alpha 90.00
_cell_angle_beta 90.00
_cell_angle_gamma 90.00
_symmetry_space_group_name_H-M 'I -4 2 d'
_symmetry_Int_Tables_number 122
_symmetry_space_group_name_Hall 'I -4 2bw'
loop_
_atom_site_label
_atom_site_type_symbol
_atom_site_fract_x
_atom_site_fract_y
_atom_site_fract_z
Hf1 Hf 0.000 0.000 0.000
In1 In 0.165 0.750 0.125
Cl1 Cl 0.000 0.000 0.500
# crystal system	tetragonal
# Fermi-level density of states	30.5	states/eV per cell



Arrangement 2

# HfIn2Cl, relaxed, DFT PBE
data_HfIn2Cl
_cell_length_a 7.343
_cell_length_b 7.343
_cell_length_c 7.343
_cell_angle_alpha 90.00
_cell_angle_beta 90.00
_cell_angle_gamma 90.00
_symmetry_space_group_name_H-M 'F m -3 m'
_symmetry_Int_Tables_number 225
_symmetry_space_group_name_Hall '-F 4 2 3'
loop_
_atom_site_label
_atom_site_type_symbol
_atom_site_fract_x
_atom_site_fract_y
_atom_site_fract_z
Hf1 Hf 0.000 0.000 0.000
In1 In 0.250 0.250 0.250
Cl1 Cl 0.000 0.000 0.500
# crystal system	cubic
# Fermi-level density of states	11.2	states/eV per cell



The winner here is arrangement 1, beating the second structure by 17.6 kJ/mol of atoms.



Arrangement 1

# HfInCl2, relaxed, DFT PBE
data_HfInCl2
_cell_length_a 4.508
_cell_length_b 4.508
_cell_length_c 18.390
_cell_angle_alpha 90.00
_cell_angle_beta 90.00
_cell_angle_gamma 90.00
_symmetry_space_group_name_H-M 'I -4 2 d'
_symmetry_Int_Tables_number 122
_symmetry_space_group_name_Hall 'I -4 2bw'
loop_
_atom_site_label
_atom_site_type_symbol
_atom_site_fract_x
_atom_site_fract_y
_atom_site_fract_z
Hf1 Hf 0.000 0.000 0.000
In1 In 0.000 0.000 0.500
Cl1 Cl 0.210 0.250 0.125
# crystal system	tetragonal
# Fermi-level density of states	11.5	states/eV per cell



Arrangement 2

# HfInCl2, relaxed, DFT PBE
data_HfInCl2
_cell_length_a 3.2478
_cell_length_b 3.2478
_cell_length_c 34.8206
_cell_angle_alpha 90.00
_cell_angle_beta 90.00
_cell_angle_gamma 120.00
_symmetry_space_group_name_H-M 'R -3 m'
_symmetry_Int_Tables_number 166
_symmetry_space_group_name_Hall '-R 3 2"'
loop_
_atom_site_label
_atom_site_type_symbol
_atom_site_fract_x
_atom_site_fract_y
_atom_site_fract_z
Hf1 Hf 0.0000 0.0000 0.0000
In1 In 0.0000 0.0000 0.5000
Cl1 Cl 0.0000 0.0000 0.3856
# crystal system	trigonal
# Fermi-level density of states	5.7	states/eV per cell



The winner here is arrangement 2, beating the second structure by 50.6 kJ/mol of atoms.



Arrangement 1

# HfInP2Cl, relaxed, DFT PBE
data_HfInP2Cl
_cell_length_a 4.982
_cell_length_b 4.982
_cell_length_c 4.823
_cell_angle_alpha 90.00
_cell_angle_beta 90.00
_cell_angle_gamma 90.00
_symmetry_space_group_name_H-M 'P 4/m m m'
_symmetry_Int_Tables_number 123
_symmetry_space_group_name_Hall '-P 4 2'
loop_
_atom_site_label
_atom_site_type_symbol
_atom_site_fract_x
_atom_site_fract_y
_atom_site_fract_z
Hf1 Hf 0.000 0.000 0.000
In1 In 0.500 0.500 0.500
P1 P 0.000 0.500 0.500
Cl1 Cl 0.500 0.500 0.000
# crystal system	tetragonal
# Fermi-level density of states	2.9	states/eV per cell



Arrangement 2

# HfInP2Cl, relaxed, DFT PBE
data_HfInP2Cl
_cell_length_a 5.038
_cell_length_b 5.038
_cell_length_c 5.043
_cell_angle_alpha 90.00
_cell_angle_beta 90.00
_cell_angle_gamma 90.00
_symmetry_space_group_name_H-M 'P 4/m m m'
_symmetry_Int_Tables_number 123
_symmetry_space_group_name_Hall '-P 4 2'
loop_
_atom_site_label
_atom_site_type_symbol
_atom_site_fract_x
_atom_site_fract_y
_atom_site_fract_z
Hf1 Hf 0.000 0.000 0.000
In1 In 0.500 0.500 0.500
P1 P 0.000 0.500 0.000
Cl1 Cl 0.000 0.000 0.500
# crystal system	tetragonal
# Fermi-level density of states	3.1	states/eV per cell



The winner here is arrangement 2, beating the second structure by 96.5 kJ/mol of atoms.